(1)
Here is Ca2YCoO5 after structural relaxation from Alexandria via LeMat-Bulk. Energies are from PBE with a Hubbard U.

a = 9.2482 Å, b = 9.2482 Å, c = 9.2482 Å
α = 47.75°, β = 145.86°, γ = 147.65°
With the nearest neighbours (Å) after each atom.
Sites, in units of the cell vectors:
Ca  0.0212  0.0965  0.1177  7 O 2.37-2.64
Ca  0.0212  0.4035  0.4247  7 O 2.37-2.64
Ca  0.9788  0.5965  0.5753  7 O 2.37-2.64
Ca  0.9788  0.9035  0.8823  7 O 2.37-2.64
Y  0.4956  0.7778  0.2178  4 O 2.15-2.31
Y  0.5600  0.2778  0.7822  4 O 2.15-2.31
Co  0.4950  0.4950  0.0000  4 O 1.88
Co  0.4950  0.9950  0.5000  4 O 1.88
O  0.0375  0.7256  0.8119  2 Y 2.22-2.31
O  0.4367  0.1161  0.5739  1 Y 2.15, 1 Co 2.16, 1 Ca 2.37
O  0.4367  0.3627  0.8206  1 Y 2.15, 1 Co 2.16, 1 Ca 2.37
O  0.4971  0.2341  0.2391  2 Co 1.88
O  0.4971  0.7580  0.7630  2 Co 1.88
O  0.5421  0.6161  0.1794  1 Y 2.15, 1 Co 2.16, 1 Ca 2.37
O  0.5421  0.8627  0.4261  1 Y 2.15, 1 Co 2.16, 1 Ca 2.37
O  0.9136  0.2256  0.1881  2 Y 2.22-2.31
O  0.9950  0.2580  0.7609  2 Co 1.88
O  0.9950  0.7341  0.2370  2 Co 1.88

Summary:
E, eV for the cell shown: -124.880
Fermi-level density of states, states/eV per atom: 0.210
Spin magnetization, μB/f.u.: 2.01

=====

(2)
Here is CaZnCo2O4 after structural relaxation from Alexandria via LeMat-Bulk. Energies are from PBE with a Hubbard U.

a = 5.3840 Å, b = 4.5331 Å, c = 5.3733 Å
α = 65.20°, β = 49.85°, γ = 64.95°
With the nearest neighbours (Å) after each atom.
Sites, in units of the cell vectors:
Ca  0.0000  0.0000  0.0000  6 O 2.26-2.30
Zn  0.4962  0.4962  0.5038  4 O 2.02-2.25
Co  0.2475  0.2475  0.2525  6 O 2.16-2.29
Co  0.7475  0.7475  0.7525  6 O 2.16-2.29
O  0.0003  0.4996  0.9997  2 Co 2.16, 2 Zn 2.25-2.29, 2 Ca 2.26-2.27
O  0.2671  0.7357  0.2643  1 Zn 2.02, 2 Co 2.25
O  0.4996  0.0003  0.5004  2 Co 2.16, 2 Zn 2.25-2.29, 2 Ca 2.26-2.27
O  0.7357  0.2671  0.7329  1 Zn 2.02, 2 Co 2.25

Summary:
E, eV for the cell shown: -45.287
Spin magnetization, μB/f.u.: 6.00